Run one
The following is a DFT calculation (PBE) of a relaxed CsPtSe2Br crystal.

Cell lengths 5.7393, 5.7393, 6.4764 Å; angles 90.00, 90.00, 90.00 degrees
Closest atoms and distances in Å follow each position.
Fractional positions:
Br  0.0000  0.0000  0.5000  2 Cs 3.24
Pt  0.5000  0.5000  0.5000  4 Br 4.06, 8 Se 4.33
Se  0.0000  0.5000  0.0000  2 Cs 2.87
Se  0.5000  0.0000  0.0000  2 Cs 2.87
Cs  0.0000  0.0000  0.0000  4 Se 2.87

=====

Run two
The following is a DFT calculation (PBE) of a relaxed CsPtSe2Br crystal.

Cell lengths 5.0746, 5.0746, 5.6520 Å; angles 90.00, 90.00, 90.00 degrees
Closest atoms and distances in Å follow each position.
Fractional positions:
Pt  0.0000  0.0000  0.0000  4 Se 2.54, 2 Br 2.83
Br  0.0000  0.0000  0.5000  2 Pt 2.83
Se  0.0000  0.5000  0.0000  2 Pt 2.54
Se  0.5000  0.0000  0.0000  2 Pt 2.54
Cs  0.5000  0.5000  0.5000  4 Br 3.59, 8 Se 3.80

=====

Pick run two: it beats the second-best structure by 177.0 kJ/mol of atoms.

=====

Run one
The following is a DFT calculation (PBE) of a relaxed Cs3Pu2Br8 crystal.

Cell lengths 8.5512, 8.4838, 9.7283 Å; angles 115.85, 107.02, 90.00 degrees
Closest atoms and distances in Å follow each position.
Fractional positions:
Cs  0.0000  0.2717  0.0000  6 Br 3.54-3.65, 1 Cs 3.87
Cs  0.0000  0.7283  0.0000  6 Br 3.54-3.65, 1 Cs 3.87
Cs  0.5000  0.0000  0.0000  4 Br 3.58
Br  0.4046  0.8992  0.2902  2 Pu 3.05-3.06
Br  0.9872  0.8444  0.6889  1 Pu 2.92
Br  0.7639  0.6014  0.2028  1 Pu 2.87
Br  0.2361  0.3986  0.7972  1 Pu 2.87
Br  0.0128  0.1556  0.3111  1 Pu 2.92
Br  0.5954  0.1008  0.7098  2 Pu 3.05-3.06
Br  0.4046  0.3910  0.2902  2 Pu 3.05-3.06
Br  0.5954  0.6090  0.7098  2 Pu 3.05-3.06
Pu  0.3549  0.2628  0.5257  6 Br 2.87-3.06
Pu  0.6451  0.7372  0.4743  6 Br 2.87-3.06

=====

Run two
The following is a DFT calculation (PBE) of a relaxed Cs3Pu2Br8 crystal.

Cell lengths 8.4810, 8.4810, 11.3201 Å; angles 68.00, 68.00, 60.00 degrees
Closest atoms and distances in Å follow each position.
Fractional positions:
Br  0.2575  0.2575  0.6914  1 Pu 2.79
Br  0.2575  0.7935  0.6914  1 Pu 2.79
Br  0.7935  0.2575  0.6914  1 Pu 2.79
Br  0.6860  0.6860  0.9419  1 Pu 2.79
Br  0.7425  0.2065  0.3086  1 Pu 2.79
Br  0.2065  0.7425  0.3086  1 Pu 2.79
Br  0.7425  0.7425  0.3086  1 Pu 2.79
Br  0.3140  0.3140  0.0581  1 Pu 2.79
Pu  0.4050  0.4050  0.7850  4 Br 2.79
Pu  0.5950  0.5950  0.2150  4 Br 2.79
Cs  0.8010  0.8010  0.5971  4 Br 3.52-3.72
Cs  0.1990  0.1990  0.4029  4 Br 3.52-3.72
Cs  0.0000  0.0000  0.0000  6 Br 3.88

=====

Pick run one: it beats the second-best structure by 0.8 kJ/mol of atoms.

=====

Run one
The following is a DFT calculation (PBE) of a relaxed CsPu4Br8 crystal.

Cell lengths 8.0422, 8.0422, 18.9579 Å; angles 90.00, 90.00, 120.00 degrees
Closest atoms and distances in Å follow each position.
Fractional positions:
Br  0.3333  0.6667  0.3554  3 Pu 2.99
Br  0.1674  0.3349  0.8503  3 Pu 3.01-3.03
Br  0.1674  0.3349  0.6497  3 Pu 3.01-3.03
Br  0.6667  0.3333  0.8554  3 Pu 2.99
Br  0.8326  0.6651  0.3503  3 Pu 3.01-3.03
Br  0.8326  0.1674  0.3503  3 Pu 3.01-3.03
Br  0.3349  0.1674  0.3503  3 Pu 3.01-3.03
Br  0.6651  0.8326  0.6497  3 Pu 3.01-3.03
Br  0.1674  0.8326  0.8503  3 Pu 3.01-3.03
Br  0.6651  0.8326  0.8503  3 Pu 3.01-3.03
Br  0.3333  0.6667  0.1446  3 Pu 2.99
Br  0.8326  0.1674  0.1497  3 Pu 3.01-3.03
Br  0.8326  0.6651  0.1497  3 Pu 3.01-3.03
Br  0.6667  0.3333  0.6446  3 Pu 2.99
Br  0.3349  0.1674  0.1497  3 Pu 3.01-3.03
Br  0.1674  0.8326  0.6497  3 Pu 3.01-3.03
Pu  0.4932  0.9864  0.2500  6 Br 2.99-3.03
Pu  0.5068  0.0136  0.7500  6 Br 2.99-3.03
Pu  0.4932  0.5068  0.2500  6 Br 2.99-3.03
Pu  0.0000  0.0000  0.2500  6 Br 3.01
Pu  0.5068  0.4932  0.7500  6 Br 2.99-3.03
Pu  0.9864  0.4932  0.7500  6 Br 2.99-3.03
Pu  0.0000  0.0000  0.7500  6 Br 3.01
Pu  0.0136  0.5068  0.2500  6 Br 2.99-3.03
Cs  0.0000  0.0000  0.0000  6 Br 3.67
Cs  0.0000  0.0000  0.5000  6 Br 3.67

=====

Run two
The following is a DFT calculation (PBE) of a relaxed CsPu4Br8 crystal.

Cell lengths 9.0312, 9.0312, 9.0312 Å; angles 60.00, 60.00, 60.00 degrees
Closest atoms and distances in Å follow each position.
Fractional positions:
Cs  0.7500  0.7500  0.7500  4 Br 3.26
Br  0.1323  0.1323  0.1323  3 Pu 2.99
Br  0.6026  0.6026  0.1921  3 Pu 3.07, 1 Cs 3.26
Br  0.6026  0.1921  0.6026  3 Pu 3.07, 1 Cs 3.26
Br  0.1323  0.6031  0.1323  3 Pu 2.99
Br  0.6026  0.6026  0.6026  3 Pu 3.07, 1 Cs 3.26
Br  0.6031  0.1323  0.1323  3 Pu 2.99
Br  0.1921  0.6026  0.6026  3 Pu 3.07, 1 Cs 3.26
Br  0.1323  0.1323  0.6031  3 Pu 2.99
Pu  0.3665  0.9005  0.3665  6 Br 2.99-3.07
Pu  0.3665  0.3665  0.3665  6 Br 2.99-3.07
Pu  0.9005  0.3665  0.3665  6 Br 2.99-3.07
Pu  0.3665  0.3665  0.9005  6 Br 2.99-3.07

=====

Pick run one: it beats the second-best structure by 4.9 kJ/mol of atoms.

=====

Run one
The following is a DFT calculation (PBE) of a relaxed Cs2Rb2Br crystal.

Cell lengths 9.7343, 9.7343, 9.1719 Å; angles 90.00, 90.00, 90.00 degrees
Closest atoms and distances in Å follow each position.
Fractional positions:
Cs  0.1897  0.3103  0.0000  2 Br 3.54
Cs  0.8103  0.6897  0.0000  2 Br 3.54
Cs  0.6897  0.1897  0.0000  2 Br 3.54
Cs  0.3103  0.8103  0.0000  2 Br 3.54
Rb  0.8309  0.3309  0.5000  5 Rb 4.65-5.12, 2 Cs 4.98
Rb  0.6691  0.8309  0.5000  5 Rb 4.65-5.12, 2 Cs 4.98
Rb  0.3309  0.1691  0.5000  5 Rb 4.65-5.12, 2 Cs 4.98
Rb  0.1691  0.6691  0.5000  5 Rb 4.65-5.12, 2 Cs 4.98
Br  0.5000  0.5000  0.0000  4 Cs 3.54
Br  0.0000  0.0000  0.0000  4 Cs 3.54

=====

Run two
The following is a DFT calculation (PBE) of a relaxed Cs2Rb2Br crystal.

Cell lengths 6.6236, 6.6236, 18.1511 Å; angles 95.22, 95.22, 88.31 degrees
Closest atoms and distances in Å follow each position.
Fractional positions:
Cs  0.9292  0.4194  0.9109  2 Br 3.75-3.76
Cs  0.6694  0.6792  0.4109  2 Br 3.75-3.76
Cs  0.5806  0.0708  0.0891  2 Br 3.75-3.76
Cs  0.3208  0.3306  0.5891  2 Br 3.75-3.76
Rb  0.0854  0.1466  0.3374  1 Br 3.62
Rb  0.8534  0.9146  0.6626  1 Br 3.62
Rb  0.1646  0.6034  0.1626  1 Br 3.62
Rb  0.3966  0.8354  0.8374  1 Br 3.62
Br  0.8040  0.1960  0.5000  2 Rb 3.62, 4 Cs 3.75-3.76
Br  0.4460  0.5540  0.0000  2 Rb 3.62, 4 Cs 3.75-3.76

=====

Pick run two: it beats the second-best structure by 3.0 kJ/mol of atoms.

=====

Run one
The following is a DFT calculation (PBE) of a relaxed Cs4Rb2Br crystal.

Cell lengths 7.2138, 7.2138, 13.6469 Å; angles 74.67, 74.67, 90.00 degrees
Closest atoms and distances in Å follow each position.
Fractional positions:
Cs  0.1479  0.1479  0.7041  1 Br 3.74
Cs  0.8521  0.8521  0.2959  1 Br 3.74
Cs  0.0000  0.5000  0.0000  2 Br 3.61
Cs  0.5000  0.0000  0.0000  2 Br 3.61
Br  0.0000  0.0000  0.0000  6 Cs 3.61-3.74
Rb  0.3385  0.3385  0.3230  5 Cs 4.82-5.11
Rb  0.6615  0.6615  0.6770  5 Cs 4.82-5.11

=====

Run two
The following is a DFT calculation (PBE) of a relaxed Cs4Rb2Br crystal.

Cell lengths 5.4189, 11.0708, 13.6503 Å; angles 127.57, 101.45, 90.00 degrees
Closest atoms and distances in Å follow each position.
Fractional positions:
Cs  0.1676  0.7459  0.3352  4 Rb 5.15-5.67, 8 Cs 5.25-5.42
Cs  0.8324  0.2541  0.6648  4 Rb 5.15-5.67, 8 Cs 5.25-5.42
Cs  0.4963  0.2203  0.9926  2 Br 3.69
Cs  0.5037  0.7797  0.0074  2 Br 3.69
Rb  0.8288  0.7362  0.6576  1 Br 3.59
Rb  0.1712  0.2638  0.3424  1 Br 3.59
Br  0.0000  0.0000  0.0000  2 Rb 3.59, 4 Cs 3.69

=====

Pick run two: it beats the second-best structure by 1.4 kJ/mol of atoms.

=====

Run one
The following is a DFT calculation (PBE) of a relaxed CsRbBr2 crystal.

Cell lengths 5.0823, 5.0823, 8.7883 Å; angles 73.19, 73.19, 60.00 degrees
Closest atoms and distances in Å follow each position.
Fractional positions:
Br  0.7547  0.7547  0.7359  3 Rb 3.53, 3 Cs 3.66
Br  0.2453  0.2453  0.2641  3 Rb 3.53, 3 Cs 3.66
Cs  0.0000  0.0000  0.0000  6 Br 3.66
Rb  0.5000  0.5000  0.5000  6 Br 3.53

=====

Run two
The following is a DFT calculation (PBE) of a relaxed CsRbBr2 crystal.

Cell lengths 4.2819, 4.2819, 8.5895 Å; angles 90.00, 90.00, 90.00 degrees
Closest atoms and distances in Å follow each position.
Fractional positions:
Br  0.0000  0.0000  0.2403  4 Rb 3.66, 4 Cs 3.76
Br  0.0000  0.0000  0.7597  4 Rb 3.66, 4 Cs 3.76
Rb  0.5000  0.5000  0.0000  8 Br 3.66
Cs  0.5000  0.5000  0.5000  8 Br 3.76

=====

Pick run one: it beats the second-best structure by 4.5 kJ/mol of atoms.